(1)
Density functional theory data (PBE) for crystalline GdErZr2 at its relaxed geometry.

Results
For the total DFT energy (no corrections), the calculation gives -35.27 eV for the cell shown. As for the crystal system: tetragonal.

a b c (Å): 4.693 4.693 4.802
angles (deg): 90.00 90.00 90.00
Atoms (fractional coordinates):
1 Gd 0.000 0.000 0.000
2 Er 0.500 0.500 0.000
3 Zr 0.000 0.500 0.500
4 Zr 0.500 0.000 0.500

=====

(2)
Density functional theory data (PBE) for crystalline ThAs2Pd at its relaxed geometry.

Results
For the total DFT energy (no corrections), the calculation gives -22.46 eV for the cell shown. As for the crystal system: trigonal.

a b c (Å): 7.923 7.923 7.923
angles (deg): 33.04 33.04 33.04
Atoms (fractional coordinates):
1 Th 0.000 0.000 0.000
2 As 0.395 0.395 0.395
3 As 0.605 0.605 0.605
4 Pd 0.500 0.500 0.500

=====

(3)
Density functional theory data (PBE) for crystalline Li2HfCuSe4 at its relaxed geometry.

Results
For the total DFT energy (no corrections), the calculation gives -77.22 eV for the cell shown. As for the crystal system: orthorhombic. As for the formation energy (no corrections): -6.80 eV per formula unit.

a b c (Å): 6.763 6.763 13.334
angles (deg): 90.00 90.00 148.97
Atoms (fractional coordinates):
1 Li 0.123 0.877 0.566
2 Li 0.123 0.877 0.934
3 Li 0.877 0.123 0.066
4 Li 0.877 0.123 0.434
5 Hf 0.393 0.607 0.750
6 Hf 0.607 0.393 0.250
7 Cu 0.324 0.676 0.250
8 Cu 0.676 0.324 0.750
9 Se 0.049 0.951 0.750
10 Se 0.194 0.806 0.123
11 Se 0.194 0.806 0.377
12 Se 0.500 0.500 0.000
13 Se 0.500 0.500 0.500
14 Se 0.806 0.194 0.623
15 Se 0.806 0.194 0.877
16 Se 0.951 0.049 0.250

=====

(4)
Density functional theory data (PBE) for crystalline BeTlSe3 at its relaxed geometry.

Results
For the total DFT energy (no corrections), the calculation gives -10.77 eV for the cell shown. As for the crystal system: cubic. As for the formation energy (no corrections): 5.77 eV per formula unit.

a b c (Å): 5.367 5.367 5.367
angles (deg): 90.00 90.00 90.00
Atoms (fractional coordinates):
1 Be 0.000 0.000 0.000
2 Tl 0.500 0.500 0.500
3 Se 0.000 0.500 0.500
4 Se 0.500 0.000 0.500
5 Se 0.500 0.500 0.000

=====

(5)
Density functional theory data (PBE) for crystalline YCd2Ag at its relaxed geometry.

Results
For the total DFT energy (no corrections), the calculation gives -12.33 eV for the cell shown. As for the crystal system: tetragonal.

a b c (Å): 5.006 5.006 5.006
angles (deg): 119.93 119.93 90.12
Atoms (fractional coordinates):
1 Y 0.000 0.000 0.000
2 Cd 0.250 0.750 0.500
3 Cd 0.500 0.500 0.000
4 Ag 0.750 0.250 0.500

=====

(6)
Density functional theory data (PBE) for crystalline BaSi2Ru at its relaxed geometry.

Results
For the total DFT energy (no corrections), the calculation gives -47.26 eV for the cell shown. As for the crystal system: tetragonal. As for the formation energy (no corrections): -1.59 eV per formula unit.

a b c (Å): 8.095 8.095 8.095
angles (deg): 139.82 139.82 58.12
Atoms (fractional coordinates):
1 Ba 0.375 0.625 0.750
2 Ba 0.625 0.375 0.250
3 Si 0.000 0.000 0.000
4 Si 0.000 0.000 0.500
5 Si 0.000 0.500 0.000
6 Si 0.500 0.000 0.500
7 Ru 0.125 0.875 0.250
8 Ru 0.875 0.125 0.750

=====

Q: Which of these has the highest total DFT energy (no corrections)?
A: BeTlSe3

=====

Q: The highest total DFT energy (no corrections) belongs to which entry?
A: BeTlSe3

=====

Q: The highest total DFT energy (no corrections) belongs to which entry?
A: BeTlSe3

=====

Q: What is the total DFT energy (no corrections) in the fifth record?
A: -12.33 eV for the cell shown